Crystalline Tl2VCrPd at its relaxed geometry, computed with GGA-PBE.

Energy of formation, meV per atom: 1293
Uncorrected energy, eV per atom: -4.441
Density of states at the Fermi level, states/eV/f.u.: 7.500
Magnetization, μB/cell: 2.3

Cell: 5.1070 4.6341 5.1070 Å, 90.00 90.00 90.00°
Last column: nearest neighbours and their distance in Å.
Sites, in units of the cell vectors:
Tl 0.5000 0.0000 0.0000  2 Cr 2.55
Tl 0.0000 0.0000 0.5000  2 Cr 2.55
V 0.5000 0.5000 0.5000  8 Tl 3.45, 4 Pd 3.61
Pd 0.0000 0.5000 0.0000  2 Cr 2.32
Cr 0.0000 0.0000 0.0000  2 Pd 2.32, 4 Tl 2.55